#A
Density functional theory data (PBE) for a geometry-optimized Na7Tl2Pb structure.

Properties
magnetic moment: 0.00 μB per formula unit
N(E_F): 3.119 states/eV/cell
density: 4.045 g/cm3

Unit cell a=5.5051 b=5.5051 c=12.1513 alpha=90.00 beta=90.00 gamma=120.00
Space group P3m1 (No. 156)
Inequivalent atoms, fractional coordinates:
Na 0.0000 0.0000 0.0000 [1 per cell]
Na 0.0000 0.0000 0.2439 [1 per cell]
Na 0.0000 0.0000 0.5022 [1 per cell]
Na 0.3333 0.6667 0.0449 [1 per cell]
Na 0.3333 0.6667 0.6601 [1 per cell]
Na 0.6667 0.3333 0.4214 [1 per cell]
Na 0.6667 0.3333 0.8437 [1 per cell]
Tl 0.0000 0.0000 0.7505 [1 per cell]
Tl 0.3333 0.6667 0.3208 [1 per cell]
Pb 0.6667 0.3333 0.1483 [1 per cell]

=====

#B
Density functional theory data (PBE) for a geometry-optimized Na7Tl2Pb structure.

Properties
magnetic moment: 0.00 μB per formula unit
N(E_F): 7.280 states/eV/cell
density: 3.718 g/cm3

Unit cell a=10.7779 b=18.7208 c=3.4396 alpha=90.00 beta=90.00 gamma=90.00
Space group Cmmm (No. 65)
Inequivalent atoms, fractional coordinates:
Na 0.0000 0.0000 0.0000 [2 per cell]
Na 0.0000 0.3128 0.5000 [4 per cell]
Na 0.2224 0.4087 0.0000 [8 per cell]
Tl 0.0000 0.1670 0.0000 [4 per cell]
Pb 0.0000 0.5000 0.5000 [2 per cell]

=====

Computed relative energies in units of kJ/mol of atoms: #A 0.0; #B 6.5

=====

#A
Density functional theory data (PBE) for a geometry-optimized NaTl2Pb structure.

Properties
magnetic moment: 0.00 μB per formula unit
N(E_F): 13.743 states/eV/cell
density: 8.894 g/cm3

Unit cell a=7.8144 b=7.8144 c=7.8144 alpha=90.00 beta=90.00 gamma=90.00
Space group Fm-3m (No. 225)
Inequivalent atoms, fractional coordinates:
Na 0.0000 0.0000 0.0000 [4 per cell]
Tl 0.2500 0.2500 0.2500 [8 per cell]
Pb 0.0000 0.0000 0.5000 [4 per cell]

=====

#B
Density functional theory data (PBE) for a geometry-optimized NaTl2Pb structure.

Properties
magnetic moment: 0.00 μB per formula unit
N(E_F): 4.427 states/eV/cell
density: 7.831 g/cm3

Unit cell a=4.5596 b=4.5596 c=22.5743 alpha=90.00 beta=90.00 gamma=120.00
Space group R3m (No. 160, hexagonal axes)
Inequivalent atoms, fractional coordinates:
Na 0.0000 0.0000 0.0000 [3 per cell]
Tl 0.0000 0.0000 0.4227 [3 per cell]
Tl 0.0000 0.0000 0.5799 [3 per cell]
Pb 0.0000 0.0000 0.1699 [3 per cell]

=====

Computed relative energies in units of kJ/mol of atoms: #A 0.0; #B 10.5

=====

#A
Density functional theory data (PBE) for a geometry-optimized NaTl2Pb structure.

Properties
magnetic moment: 0.00 μB per formula unit
N(E_F): 1.485 states/eV/cell
density: 8.921 g/cm3

Unit cell a=3.8862 b=3.8862 c=7.8755 alpha=90.00 beta=90.00 gamma=90.00
Space group P4/mmm (No. 123)
Inequivalent atoms, fractional coordinates:
Na 0.0000 0.0000 0.0000 [1 per cell]
Tl 0.5000 0.5000 0.2421 [2 per cell]
Pb 0.0000 0.0000 0.5000 [1 per cell]

=====

#B
Density functional theory data (PBE) for a geometry-optimized NaTl2Pb structure.

Properties
magnetic moment: 0.00 μB per formula unit
N(E_F): 10.000 states/eV/cell
density: 8.443 g/cm3

Unit cell a=4.6702 b=4.6702 c=23.0473 alpha=90.00 beta=90.00 gamma=90.00
Space group I-42d (No. 122)
Inequivalent atoms, fractional coordinates:
Na 0.0000 0.0000 0.0000 [4 per cell]
Tl 0.2463 0.2500 0.1250 [8 per cell]
Pb 0.0000 0.0000 0.5000 [4 per cell]

=====

#C
Density functional theory data (PBE) for a geometry-optimized NaTl2Pb structure.

Properties
magnetic moment: 0.00 μB per formula unit
N(E_F): 3.145 states/eV/cell
density: 9.078 g/cm3

Unit cell a=4.9566 b=4.9566 c=4.7573 alpha=90.00 beta=90.00 gamma=90.00
Space group P4/mmm (No. 123)
Inequivalent atoms, fractional coordinates:
Na 0.0000 0.0000 0.0000 [1 per cell]
Tl 0.0000 0.5000 0.5000 [2 per cell]
Pb 0.5000 0.5000 0.0000 [1 per cell]

=====

Computed relative energies in units of kJ/mol of atoms: #A 0.0; #B 11.9; #C 1.8